LaNdGa2Pt2: optimized geometry, GGA-PBE.

Results
Formation enthalpy at 0 K (eV/atom): -1.016
Fermi-level density of states (states/eV/cell): 4.902
DFT total energy (eV per cell): -33.9
Crystal system: trigonal
Total moment (μB/atom): 0.000
V (A^3/atom): 22.3

Lattice parameters (Å, degrees): 4.4912 4.4912 7.6621 90.00 90.00 120.00
Space group P-3m1 (No. 164)
Asymmetric unit:
La 0.0000 0.0000 0.0000
Nd 0.0000 0.0000 0.5000
Ga 0.3333 0.6667 0.2599
Pt 0.3333 0.6667 0.7422